No. 1
This record from Alexandria via LeMat-Bulk describes crystalline Ga2RuPbO8 at its relaxed geometry. The functional is PBE.

Lattice parameters (Å, degrees): 4.644 6.427 4.649 90.00 90.29 90.00
Positions (direct):
Ga (0.000, 0.248, 0.000)
Ga (0.000, 0.752, 0.000)
Ru (0.500, 0.000, 0.500)
Pb (0.500, 0.500, 0.500)
O (0.179, 0.500, 0.177)
O (0.208, 0.000, 0.207)
O (0.298, 0.221, 0.701)
O (0.298, 0.779, 0.701)
O (0.702, 0.221, 0.299)
O (0.702, 0.779, 0.299)
O (0.792, 0.000, 0.793)
O (0.821, 0.500, 0.823)

Results
space-group type: P2/m
formation energy from raw total energies: -1.150 eV per atom

---

No. 2
This record from Alexandria via LeMat-Bulk describes crystalline Rb3Er2PaTe6 at its relaxed geometry. The functional is PBE.

Lattice parameters (Å, degrees): 7.792 7.792 8.982 98.32 98.32 119.99
Positions (direct):
Rb (0.000, 0.000, 0.000)
Rb (0.334, 0.666, 0.000)
Rb (0.666, 0.334, 0.000)
Er (0.167, 0.833, 0.500)
Er (0.833, 0.167, 0.500)
Pa (0.500, 0.500, 0.500)
Te (0.096, 0.433, 0.300)
Te (0.230, 0.230, 0.700)
Te (0.433, 0.096, 0.300)
Te (0.567, 0.904, 0.700)
Te (0.770, 0.770, 0.300)
Te (0.904, 0.567, 0.700)

Results
space-group type: C2/m
formation energy from raw total energies: -1.192 eV per atom

---

No. 3
This record from Alexandria via LeMat-Bulk describes crystalline CeSbP2 at its relaxed geometry. The functional is PBE.

Lattice parameters (Å, degrees): 4.643 4.643 3.797 90.00 90.00 90.00
Positions (direct):
Ce (0.000, 0.000, 0.000)
Sb (0.500, 0.500, 0.000)
P (0.000, 0.500, 0.500)
P (0.500, 0.000, 0.500)

Results
space-group type: P4/mmm
formation energy from raw total energies: -0.592 eV per atom

---

No. 4
This record from Alexandria via LeMat-Bulk describes crystalline Zr3VSb at its relaxed geometry. The functional is PBE.

Lattice parameters (Å, degrees): 5.269 5.269 5.269 90.00 90.00 90.00
Positions (direct):
Zr (0.000, 0.000, 0.500)
Zr (0.000, 0.500, 0.000)
Zr (0.500, 0.000, 0.000)
V (0.500, 0.500, 0.500)
Sb (0.000, 0.000, 0.000)

Results
space-group type: Pm-3m
formation energy from raw total energies: 0.999 eV per atom

---

No. 5
This record from Alexandria via LeMat-Bulk describes crystalline Dy2TlPb2 at its relaxed geometry. The functional is PBE.

Lattice parameters (Å, degrees): 5.097 17.564 3.608 90.00 90.00 90.00
Positions (direct):
Dy (0.006, 0.181, 0.000)
Dy (0.494, 0.681, 0.000)
Dy (0.506, 0.319, 0.000)
Dy (0.994, 0.819, 0.000)
Tl (0.000, 0.000, 0.000)
Tl (0.500, 0.500, 0.000)
Pb (0.006, 0.359, 0.500)
Pb (0.494, 0.859, 0.500)
Pb (0.506, 0.141, 0.500)
Pb (0.994, 0.641, 0.500)

Results
space-group type: Pbam
DFT formation energy: -0.189 eV per atom

---

No. 6
This record from Alexandria via LeMat-Bulk describes crystalline CeMgGa4 at its relaxed geometry. The functional is PBE.

Lattice parameters (Å, degrees): 5.770 5.770 5.770 134.63 107.61 89.71
Positions (direct):
Ce (0.000, 0.000, 0.000)
Mg (0.500, 0.000, 0.500)
Ga (0.045, 0.326, 0.719)
Ga (0.393, 0.674, 0.719)
Ga (0.607, 0.326, 0.281)
Ga (0.955, 0.674, 0.281)

Results
space-group type: Immm
DFT formation energy: -0.347 eV per atom

---

No. 7
This record from Alexandria via LeMat-Bulk describes crystalline Ag3C at its relaxed geometry. The functional is PBE.

Lattice parameters (Å, degrees): 3.074 3.074 7.628 90.00 90.00 120.00
Positions (direct):
Ag (0.000, 0.000, 0.000)
Ag (0.333, 0.667, 0.307)
Ag (0.333, 0.667, 0.693)
C (0.000, 0.000, 0.500)

Results
space-group type: P-6m2
DFT formation energy: 1.125 eV per atom

---

No. 8
This record from Alexandria via LeMat-Bulk describes crystalline CsTl3I at its relaxed geometry. The functional is PBE.

Lattice parameters (Å, degrees): 6.885 6.885 6.885 90.00 90.00 90.00
Positions (direct):
Cs (0.000, 0.000, 0.000)
Tl (0.000, 0.000, 0.500)
Tl (0.000, 0.500, 0.000)
Tl (0.500, 0.000, 0.000)
I (0.500, 0.500, 0.500)

Results
space-group type: Pm-3m
formation energy from raw total energies: 0.500 eV per atom

---

No. 9
This record from Alexandria via LeMat-Bulk describes crystalline InTeHN2 at its relaxed geometry. The functional is PBE.

Lattice parameters (Å, degrees): 4.178 4.178 6.379 90.00 90.00 90.00
Positions (direct):
In (0.000, 0.000, 0.000)
Te (0.000, 0.000, 0.500)
H (0.500, 0.500, 0.500)
N (0.000, 0.500, 0.000)
N (0.500, 0.000, 0.000)

Results
space-group type: P4/mmm

---

No. 10
This record from Alexandria via LeMat-Bulk describes crystalline Pm3GeSb at its relaxed geometry. The functional is PBE.

Lattice parameters (Å, degrees): 5.513 5.513 5.513 90.00 90.00 90.00
Positions (direct):
Pm (0.000, 0.000, 0.500)
Pm (0.000, 0.500, 0.000)
Pm (0.500, 0.000, 0.000)
Ge (0.000, 0.000, 0.000)
Sb (0.500, 0.500, 0.500)

Results
space-group type: Pm-3m
formation energy from raw total energies: -0.420 eV per atom

---

No. 11
This record from Alexandria via LeMat-Bulk describes crystalline LiTi2IrO at its relaxed geometry. The functional is PBE.

Lattice parameters (Å, degrees): 4.144 4.144 3.619 90.00 90.00 90.00
Positions (direct):
Li (0.000, 0.000, 0.000)
Ti (0.000, 0.500, 0.500)
Ti (0.500, 0.000, 0.500)
Ir (0.500, 0.500, 0.000)
O (0.000, 0.000, 0.500)

Results
space-group type: P4/mmm
formation energy from raw total energies: -1.366 eV per atom

---

No. 12
This record from Alexandria via LeMat-Bulk describes crystalline BiH2Pd4 at its relaxed geometry. The functional is PBE.

Lattice parameters (Å, degrees): 5.105 5.869 7.275 104.47 100.59 108.71
Positions (direct):
Bi (0.000, 0.000, 0.000)
Bi (0.180, 0.685, 0.424)
H (0.364, 0.572, 0.999)
H (0.392, 0.444, 0.666)
H (0.786, 0.069, 0.381)
H (0.893, 0.424, 0.739)
Pd (0.186, 0.174, 0.423)
Pd (0.393, 0.786, 0.839)
Pd (0.394, 0.283, 0.846)
Pd (0.636, 0.219, 0.218)
Pd (0.639, 0.718, 0.237)
Pd (0.726, 0.084, 0.623)
Pd (0.736, 0.586, 0.609)
Pd (0.990, 0.498, 0.007)

Results
space-group type: P1

---

No. 13
This record from Alexandria via LeMat-Bulk describes crystalline TiTcN2 at its relaxed geometry. The functional is PBE.

Lattice parameters (Å, degrees): 6.325 6.325 6.325 27.21 27.21 27.21
Positions (direct):
Ti (0.000, 0.000, 0.000)
Tc (0.500, 0.500, 0.500)
N (0.395, 0.395, 0.395)
N (0.605, 0.605, 0.605)

Results
space-group type: R-3m
formation energy from raw total energies: -0.424 eV per atom

---

No. 14
This record from Alexandria via LeMat-Bulk describes crystalline Al2VGa at its relaxed geometry. The functional is PBE.

Lattice parameters (Å, degrees): 4.940 4.940 4.940 135.47 135.47 64.80
Positions (direct):
Al (0.000, 0.000, 0.000)
Al (0.750, 0.250, 0.500)
V (0.250, 0.750, 0.500)
Ga (0.500, 0.500, 0.000)

Results
space-group type: I-4m2
DFT formation energy: -0.260 eV per atom

---

No. 15
This record from Alexandria via LeMat-Bulk describes crystalline Mg2Sc5Rh2Au at its relaxed geometry. The functional is PBE.

Lattice parameters (Å, degrees): 11.001 11.001 3.491 90.00 90.00 90.00
Positions (direct):
Mg (0.174, 0.326, 0.000)
Mg (0.326, 0.826, 0.000)
Mg (0.674, 0.174, 0.000)
Mg (0.826, 0.674, 0.000)
Sc (0.000, 0.500, 0.500)
Sc (0.072, 0.799, 0.500)
Sc (0.201, 0.072, 0.500)
Sc (0.299, 0.572, 0.500)
Sc (0.428, 0.299, 0.500)
Sc (0.500, 0.000, 0.500)
Sc (0.572, 0.701, 0.500)
Sc (0.701, 0.428, 0.500)
Sc (0.799, 0.928, 0.500)
Sc (0.928, 0.201, 0.500)
Rh (0.130, 0.630, 0.000)
Rh (0.370, 0.130, 0.000)
Rh (0.630, 0.870, 0.000)
Rh (0.870, 0.370, 0.000)
Au (0.000, 0.000, 0.000)
Au (0.500, 0.500, 0.000)

Results
space-group type: P4/mbm
DFT formation energy: -0.570 eV per atom

---

No. 16
This record from Alexandria via LeMat-Bulk describes crystalline CsTiAsBr2 at its relaxed geometry. The functional is PBE.

Lattice parameters (Å, degrees): 5.512 5.512 4.935 90.00 90.00 90.00
Positions (direct):
Cs (0.000, 0.000, 0.000)
Ti (0.500, 0.500, 0.500)
As (0.500, 0.500, 0.000)
Br (0.000, 0.500, 0.500)
Br (0.500, 0.000, 0.500)

Results
space-group type: P4/mmm
formation energy from raw total energies: -0.888 eV per atom

---

No. 17
This record from Alexandria via LeMat-Bulk describes crystalline CaPr2Hf at its relaxed geometry. The functional is PBE.

Lattice parameters (Å, degrees): 3.567 3.567 10.336 90.00 90.00 90.00
Positions (direct):
Ca (0.000, 0.000, 0.000)
Pr (0.500, 0.500, 0.283)
Pr (0.500, 0.500, 0.717)
Hf (0.000, 0.000, 0.500)

Results
space-group type: P4/mmm
DFT formation energy: 0.150 eV per atom

---

No. 18
This record from Alexandria via LeMat-Bulk describes crystalline ZrCo2Ni at its relaxed geometry. The functional is PBE.

Lattice parameters (Å, degrees): 8.966 8.966 8.966 156.26 156.26 33.82
Positions (direct):
Zr (0.000, 0.000, 0.000)
Zr (0.750, 0.250, 0.500)
Co (0.191, 0.625, 0.066)
Co (0.375, 0.441, 0.566)
Co (0.559, 0.125, 0.934)
Co (0.875, 0.809, 0.434)
Ni (0.250, 0.750, 0.500)
Ni (0.500, 0.500, 0.000)

Results
space-group type: I-42d
DFT formation energy: 0.175 eV per atom

---

No. 19
This record from Alexandria via LeMat-Bulk describes crystalline CaZn3In at its relaxed geometry. The functional is PBE.

Lattice parameters (Å, degrees): 5.138 5.138 5.138 90.00 90.00 90.00
Positions (direct):
Ca (0.000, 0.000, 0.000)
Zn (0.000, 0.500, 0.500)
Zn (0.500, 0.000, 0.500)
Zn (0.500, 0.500, 0.000)
In (0.500, 0.500, 0.500)

Results
space-group type: Pm-3m
DFT formation energy: 0.254 eV per atom

---

No. 20
This record from Alexandria via LeMat-Bulk describes crystalline YCo2Ge3 at its relaxed geometry. The functional is PBE.

Lattice parameters (Å, degrees): 6.073 6.073 5.322 90.00 90.00 76.79
Positions (direct):
Y (0.157, 0.843, 0.750)
Y (0.843, 0.157, 0.250)
Co (0.294, 0.294, 0.000)
Co (0.294, 0.294, 0.500)
Co (0.706, 0.706, 0.000)
Co (0.706, 0.706, 0.500)
Ge (0.030, 0.617, 0.250)
Ge (0.383, 0.970, 0.250)
Ge (0.460, 0.540, 0.250)
Ge (0.540, 0.460, 0.750)
Ge (0.617, 0.030, 0.750)
Ge (0.970, 0.383, 0.750)

Results
space-group type: Cmcm
DFT formation energy: -0.382 eV per atom

---

No. 21
This record from Alexandria via LeMat-Bulk describes crystalline Hf3CdSe at its relaxed geometry. The functional is PBE.

Lattice parameters (Å, degrees): 4.932 4.932 4.932 90.00 90.00 90.00
Positions (direct):
Hf (0.000, 0.000, 0.500)
Hf (0.000, 0.500, 0.000)
Hf (0.500, 0.000, 0.000)
Cd (0.500, 0.500, 0.500)
Se (0.000, 0.000, 0.000)

Results
space-group type: Pm-3m
formation energy from raw total energies: 0.149 eV per atom

---

No. 22
This record from Alexandria via LeMat-Bulk describes crystalline TaBeCuNi at its relaxed geometry. The functional is PBE.

Lattice parameters (Å, degrees): 4.137 4.137 4.137 60.00 60.00 60.00
Positions (direct):
Ta (0.000, 0.000, 0.000)
Be (0.500, 0.500, 0.500)
Cu (0.750, 0.750, 0.750)
Ni (0.250, 0.250, 0.250)

Results
space-group type: F-43m
DFT formation energy: -0.070 eV per atom

---

No. 23
This record from Alexandria via LeMat-Bulk describes crystalline Li5Ca2Zn4 at its relaxed geometry. The functional is PBE.

Lattice parameters (Å, degrees): 6.983 6.983 6.983 133.47 104.10 93.92
Positions (direct):
Li (0.000, 0.000, 0.000)
Li (0.314, 0.252, 0.566)
Li (0.314, 0.748, 0.062)
Li (0.686, 0.252, 0.938)
Li (0.686, 0.748, 0.434)
Ca (0.208, 0.708, 0.500)
Ca (0.792, 0.292, 0.500)
Zn (0.083, 0.241, 0.842)
Zn (0.399, 0.241, 0.158)
Zn (0.601, 0.759, 0.842)
Zn (0.917, 0.759, 0.158)

Results
space-group type: Immm
DFT formation energy: -0.122 eV per atom

---

No. 24
This record from Alexandria via LeMat-Bulk describes crystalline Co2SeBr at its relaxed geometry. The functional is PBE.

Lattice parameters (Å, degrees): 4.896 4.896 3.643 108.04 108.04 90.81
Positions (direct):
Co (0.000, 0.500, 0.000)
Co (0.500, 0.000, 0.000)
Se (0.000, 0.000, 0.000)
Br (0.500, 0.500, 0.000)

Results
space-group type: C2/m
formation energy from raw total energies: 0.524 eV per atom

---

No. 25
This record from Alexandria via LeMat-Bulk describes crystalline Na5InAu2 at its relaxed geometry. The functional is PBE.

Lattice parameters (Å, degrees): 6.379 12.683 4.748 90.00 90.00 90.00
Positions (direct):
Na (0.000, 0.000, 0.000)
Na (0.045, 0.247, 0.000)
Na (0.232, 0.873, 0.500)
Na (0.268, 0.373, 0.500)
Na (0.455, 0.747, 0.000)
Na (0.500, 0.500, 0.000)
Na (0.545, 0.253, 0.000)
Na (0.732, 0.627, 0.500)
Na (0.768, 0.127, 0.500)
Na (0.955, 0.753, 0.000)
In (0.000, 0.500, 0.000)
In (0.500, 0.000, 0.000)
Au (0.219, 0.617, 0.500)
Au (0.281, 0.117, 0.500)
Au (0.719, 0.883, 0.500)
Au (0.781, 0.383, 0.500)

Results
space-group type: Pbam
DFT formation energy: -0.186 eV per atom

---

no.,energy (eV per formula unit)
1,-72.50
2,-54.68
3,-23.25
4,-33.89
5,-19.93
6,-21.72
7,-13.28
8,-7.00
9,-16.53
10,-25.09
11,-38.35
12,-32.38
13,-36.61
14,-20.67
15,-58.53
16,-21.18
17,-20.91
18,-27.84
19,-7.29
20,-36.82
21,-33.51
22,-25.74
23,-20.01
24,-17.27
25,-17.38